## Al7Ag5 (GGA-PBEsol)

Data for Al7Ag5 after structural relaxation.

```
data_Al7Ag5
_cell_length_a 5.6720
_cell_length_b 5.6757
_cell_length_c 7.5332
_cell_angle_alpha 79.00
_cell_angle_beta 67.89
_cell_angle_gamma 60.02
_space_group_name_H-M_alt 'P 1'
_space_group_IT_number 1
_space_group_name_Hall 'P 1'
loop_
_atom_site_label
_atom_site_fract_x
_atom_site_fract_y
_atom_site_fract_z
Ag1 0.1688 0.8197 0.8427
Al1 0.6681 0.8310 0.8328
Al2 0.1697 0.3280 0.8315
Al3 0.3292 0.6720 0.1685
Al4 0.8303 0.6720 0.1685
Ag2 0.0000 0.0000 0.5000
Al5 0.6708 0.3280 0.8315
Ag3 0.5000 0.5000 0.5000
Al6 0.3319 0.1690 0.1672
Ag4 0.5000 0.0000 0.5000
Ag5 0.8312 0.1803 0.1573
Al7 0.0000 0.5000 0.5000
```

Computed properties:
total DFT energy (no corrections): -45.651 eV/cell
calculated volume: 194.6 Å³/cell
crystal system: monoclinic
energy above the lowest structure with this stoichiometry: 0.0189 eV/atom
energy of formation from the pure elements: -38 meV per atom

## Al5Ag (GGA-PBEsol)

Data for Al5Ag after structural relaxation.

```
data_Al5Ag
_cell_length_a 4.6785
_cell_length_b 4.9409
_cell_length_c 4.9409
_cell_angle_alpha 120.00
_cell_angle_beta 90.00
_cell_angle_gamma 90.00
_space_group_name_H-M_alt 'P 1'
_space_group_IT_number 1
_space_group_name_Hall 'P 1'
loop_
_atom_site_label
_atom_site_fract_x
_atom_site_fract_y
_atom_site_fract_z
Al1 0.0000 0.0000 0.6667
Al2 0.5000 0.6667 0.3333
Al3 0.0000 0.3333 0.3333
Al4 0.0000 0.6667 0.0000
Ag1 0.5000 0.0000 0.0000
Al5 0.5000 0.3333 0.6667
```

Computed properties:
total DFT energy (no corrections): -23.445 eV/cell
calculated volume: 98.9 Å³/cell
crystal system: hexagonal
energy above the lowest structure with this stoichiometry: 0.0765 eV/atom
energy of formation from the pure elements: 54 meV per atom

## AlAg (GGA-PBEsol)

Data for AlAg after structural relaxation.

```
data_AlAg
_cell_length_a 4.8200
_cell_length_b 4.8200
_cell_length_c 6.0527
_cell_angle_alpha 90.00
_cell_angle_beta 90.00
_cell_angle_gamma 112.13
_space_group_name_H-M_alt 'P 1'
_space_group_IT_number 1
_space_group_name_Hall 'P 1'
loop_
_atom_site_label
_atom_site_fract_x
_atom_site_fract_y
_atom_site_fract_z
Ag1 0.0000 0.0000 0.7500
Ag2 0.5000 0.0000 0.5000
Al1 0.5000 0.5000 0.7500
Al2 0.5000 0.0000 0.0000
Al3 0.5000 0.5000 0.2500
Ag3 0.0000 0.0000 0.2500
Ag4 0.0000 0.5000 0.0000
Al4 0.0000 0.5000 0.5000
```

Computed properties:
total DFT energy (no corrections): -30.000 eV/cell
calculated volume: 130.3 Å³/cell
crystal system: orthorhombic
energy of formation from the pure elements: -49 meV per atom

## AlAg (GGA-PBEsol)

Data for AlAg after structural relaxation.

```
data_AlAg
_cell_length_a 4.8360
_cell_length_b 4.9484
_cell_length_c 5.4143
_cell_angle_alpha 90.00
_cell_angle_beta 90.00
_cell_angle_gamma 90.00
_space_group_name_H-M_alt 'P 1'
_space_group_IT_number 1
_space_group_name_Hall 'P 1'
loop_
_atom_site_label
_atom_site_fract_x
_atom_site_fract_y
_atom_site_fract_z
Ag1 0.4044 0.2500 0.3849
Ag2 0.5956 0.7500 0.6151
Al1 0.0999 0.7500 0.3809
Al2 0.4001 0.2500 0.8809
Ag3 0.0956 0.7500 0.8849
Ag4 0.9044 0.2500 0.1151
Al3 0.5999 0.7500 0.1191
Al4 0.9001 0.2500 0.6191
```

Computed properties:
total DFT energy (no corrections): -30.208 eV/cell
calculated volume: 129.6 Å³/cell
crystal system: orthorhombic
energy of formation from the pure elements: -75 meV per atom

## Al5Ag (GGA-PBEsol)

Data for Al5Ag after structural relaxation.

```
data_Al5Ag
_cell_length_a 2.8661
_cell_length_b 2.8661
_cell_length_c 13.6677
_cell_angle_alpha 90.00
_cell_angle_beta 90.00
_cell_angle_gamma 120.00
_space_group_name_H-M_alt 'P 1'
_space_group_IT_number 1
_space_group_name_Hall 'P 1'
loop_
_atom_site_label
_atom_site_fract_x
_atom_site_fract_y
_atom_site_fract_z
Al1 0.6667 0.3333 0.3313
Ag1 0.0000 0.0000 0.0000
Al2 0.3333 0.6667 0.6687
Al3 0.3333 0.6667 0.1641
Al4 0.0000 0.0000 0.5000
Al5 0.6667 0.3333 0.8359
```

Computed properties:
total DFT energy (no corrections): -23.904 eV/cell
calculated volume: 97.2 Å³/cell
crystal system: trigonal
energy above the lowest structure with this stoichiometry: 0.0000 eV/atom
energy of formation from the pure elements: -23 meV per atom

## Al7Ag5 (GGA-PBEsol)

Data for Al7Ag5 after structural relaxation.

```
data_Al7Ag5
_cell_length_a 5.5656
_cell_length_b 5.4596
_cell_length_c 7.6432
_cell_angle_alpha 70.52
_cell_angle_beta 83.67
_cell_angle_gamma 63.60
_space_group_name_H-M_alt 'P 1'
_space_group_IT_number 1
_space_group_name_Hall 'P 1'
loop_
_atom_site_label
_atom_site_fract_x
_atom_site_fract_y
_atom_site_fract_z
Al1 0.1670 0.0054 0.8316
Al2 0.8330 0.9946 0.1684
Ag1 0.6684 0.0089 0.8349
Al3 0.0000 0.5000 0.5000
Al4 0.5000 0.5000 0.5000
Al5 0.0000 0.0000 0.5000
Al6 0.3336 0.4920 0.1688
Ag2 0.1648 0.5056 0.8325
Ag3 0.5000 0.0000 0.5000
Ag4 0.8352 0.4944 0.1675
Ag5 0.3316 0.9911 0.1651
Al7 0.6664 0.5080 0.8312
```

Computed properties:
total DFT energy (no corrections): -45.586 eV/cell
calculated volume: 195.9 Å³/cell
crystal system: triclinic
energy above the lowest structure with this stoichiometry: 0.0243 eV/atom
energy of formation from the pure elements: -32 meV per atom

## Al3Ag2 (GGA-PBEsol)

Data for Al3Ag2 after structural relaxation.

```
data_Al3Ag2
_cell_length_a 2.9017
_cell_length_b 6.3966
_cell_length_c 9.0794
_cell_angle_alpha 99.28
_cell_angle_beta 90.00
_cell_angle_gamma 103.11
_space_group_name_H-M_alt 'P 1'
_space_group_IT_number 1
_space_group_name_Hall 'P 1'
loop_
_atom_site_label
_atom_site_fract_x
_atom_site_fract_y
_atom_site_fract_z
Al1 0.2000 0.3999 0.6041
Ag1 0.6003 0.2006 0.7969
Al2 0.9078 0.8155 0.7062
Ag2 0.0027 0.0053 0.0117
Al3 0.7976 0.5952 0.4005
Al4 0.0988 0.1975 0.3028
Al5 0.3970 0.7940 0.1948
Ag3 0.3019 0.6038 0.8963
Ag4 0.4958 0.9916 0.4927
Al6 0.6982 0.3964 0.0941
```

Computed properties:
total DFT energy (no corrections): -38.337 eV/cell
calculated volume: 161.9 Å³/cell
crystal system: monoclinic
energy above the lowest structure with this stoichiometry: 0.0141 eV/atom
energy of formation from the pure elements: -54 meV per atom

## AlAg2 (GGA-PBEsol)

Data for AlAg2 after structural relaxation.

```
data_AlAg2
_cell_length_a 3.7643
_cell_length_b 4.1315
_cell_length_c 6.5201
_cell_angle_alpha 71.53
_cell_angle_beta 90.00
_cell_angle_gamma 90.00
_space_group_name_H-M_alt 'P 1'
_space_group_IT_number 1
_space_group_name_Hall 'P 1'
loop_
_atom_site_label
_atom_site_fract_x
_atom_site_fract_y
_atom_site_fract_z
Ag1 0.0000 0.1721 0.6559
Al1 0.5000 0.3367 0.3265
Ag2 0.0000 0.8279 0.3441
Ag3 0.5000 0.0000 0.0000
Al2 0.5000 0.6633 0.6735
Ag4 0.0000 0.5000 0.0000
```

Computed properties:
total DFT energy (no corrections): -21.997 eV/cell
calculated volume: 96.2 Å³/cell
crystal system: orthorhombic
energy of formation from the pure elements: -95 meV per atom

## AlAg (GGA-PBEsol)

Data for AlAg after structural relaxation.

```
data_AlAg
_cell_length_a 2.9067
_cell_length_b 2.9067
_cell_length_c 17.8831
_cell_angle_alpha 85.34
_cell_angle_beta 85.34
_cell_angle_gamma 60.00
_space_group_name_H-M_alt 'P 1'
_space_group_IT_number 1
_space_group_name_Hall 'P 1'
loop_
_atom_site_label
_atom_site_fract_x
_atom_site_fract_y
_atom_site_fract_z
Ag1 0.4996 0.4996 0.5011
Ag2 0.6249 0.6249 0.1252
Al1 0.1252 0.1252 0.6243
Ag3 0.0020 0.0020 0.9941
Al2 0.3755 0.3755 0.8736
Al3 0.7504 0.7504 0.7488
Al4 0.8744 0.8744 0.3768
Ag4 0.2480 0.2480 0.2561
```

Computed properties:
total DFT energy (no corrections): -29.962 eV/cell
calculated volume: 130.3 Å³/cell
crystal system: trigonal
energy of formation from the pure elements: -44 meV per atom

## Al7Ag5 (GGA-PBEsol)

Data for Al7Ag5 after structural relaxation.

```
data_Al7Ag5
_cell_length_a 3.8830
_cell_length_b 6.1552
_cell_length_c 8.7165
_cell_angle_alpha 110.68
_cell_angle_beta 90.00
_cell_angle_gamma 90.00
_space_group_name_H-M_alt 'P 1'
_space_group_IT_number 1
_space_group_name_Hall 'P 1'
loop_
_atom_site_label
_atom_site_fract_x
_atom_site_fract_y
_atom_site_fract_z
Ag1 0.0000 0.5036 0.5112
Ag2 0.5000 0.6647 0.3294
Ag3 0.5000 0.1611 0.3221
Al1 0.5000 0.3293 0.6586
Ag4 0.0000 0.0076 0.5112
Al2 0.0000 0.8292 0.1736
Al3 0.5000 0.9985 0.9970
Al4 0.5000 0.8307 0.6615
Ag5 0.5000 0.4923 0.9847
Al5 0.0000 0.3443 0.1736
Al6 0.0000 0.6729 0.8389
Al7 0.0000 0.1660 0.8389
```

Computed properties:
total DFT energy (no corrections): -45.878 eV/cell
calculated volume: 194.9 Å³/cell
crystal system: orthorhombic
energy above the lowest structure with this stoichiometry: 0.0000 eV/atom
energy of formation from the pure elements: -57 meV per atom

## Al5Ag3 (GGA-PBEsol)

Data for Al5Ag3 after structural relaxation.

```
data_Al5Ag3
_cell_length_a 2.9192
_cell_length_b 2.9192
_cell_length_c 17.6859
_cell_angle_alpha 85.17
_cell_angle_beta 85.17
_cell_angle_gamma 60.02
_space_group_name_H-M_alt 'P 1'
_space_group_IT_number 1
_space_group_name_Hall 'P 1'
loop_
_atom_site_label
_atom_site_fract_x
_atom_site_fract_y
_atom_site_fract_z
Ag1 0.2504 0.2504 0.2495
Al1 0.8755 0.8755 0.3738
Ag2 0.7496 0.7496 0.7505
Al2 0.1246 0.1246 0.6261
Ag3 0.0000 0.0000 0.0000
Al3 0.5000 0.5000 0.5000
Al4 0.3748 0.3748 0.8753
Al5 0.6252 0.6252 0.1246
```

Computed properties:
total DFT energy (no corrections): -30.801 eV/cell
calculated volume: 129.9 Å³/cell
crystal system: monoclinic
energy above the lowest structure with this stoichiometry: 0.0074 eV/atom
energy of formation from the pure elements: -51 meV per atom

## Al2Ag3 (GGA-PBEsol)

Data for Al2Ag3 after structural relaxation.

```
data_Al2Ag3
_cell_length_a 2.9184
_cell_length_b 3.9063
_cell_length_c 7.4488
_cell_angle_alpha 105.20
_cell_angle_beta 101.30
_cell_angle_gamma 90.00
_space_group_name_H-M_alt 'P 1'
_space_group_IT_number 1
_space_group_name_Hall 'P 1'
loop_
_atom_site_label
_atom_site_fract_x
_atom_site_fract_y
_atom_site_fract_z
Al1 0.1025 0.6025 0.2050
Ag1 0.5000 0.0000 0.0000
Al2 0.8975 0.3975 0.7950
Ag2 0.6973 0.1973 0.3946
Ag3 0.3027 0.8027 0.6054
```

Computed properties:
total DFT energy (no corrections): -18.514 eV/cell
calculated volume: 80.2 Å³/cell
crystal system: orthorhombic
energy above the lowest structure with this stoichiometry: 0.0049 eV/atom
energy of formation from the pure elements: -79 meV per atom

Number 1: DOS at the Fermi energy 4.44 states/eV/cell. Number 2: DOS at the Fermi energy 3.03 states/eV/cell. Number 3: DOS at the Fermi energy 2.89 states/eV/cell. Number 4: DOS at the Fermi energy 1.19 states/eV/cell. Number 5: DOS at the Fermi energy 2.50 states/eV/cell. Number 6: DOS at the Fermi energy 4.02 states/eV/cell. Number 7: DOS at the Fermi energy 3.25 states/eV/cell. Number 8: DOS at the Fermi energy 1.44 states/eV/cell. Number 9: DOS at the Fermi energy 2.51 states/eV/cell. Number 10: DOS at the Fermi energy 3.49 states/eV/cell. Number 11: DOS at the Fermi energy 2.91 states/eV/cell. Number 12: DOS at the Fermi energy 1.49 states/eV/cell.